1.
DFT (PBE) results for a geometry-optimized HfZn2Ag structure.

Lattice parameters (Å, degrees): 7.273 7.273 5.703 90.00 90.00 90.00
Atoms (fractional coordinates):
Hf 0.000 0.000 0.000
Hf 0.000 0.500 0.250
Hf 0.500 0.000 0.750
Hf 0.500 0.500 0.500
Zn 0.231 0.250 0.625
Zn 0.250 0.731 0.875
Zn 0.250 0.769 0.375
Zn 0.269 0.250 0.125
Zn 0.731 0.750 0.125
Zn 0.750 0.231 0.375
Zn 0.750 0.269 0.875
Zn 0.769 0.750 0.625
Ag 0.000 0.000 0.500
Ag 0.000 0.500 0.750
Ag 0.500 0.000 0.250
Ag 0.500 0.500 0.000

energy of formation	227	meV per atom
symmetry	I-42d (122)
total DFT energy (no corrections)	-3.61	eV/atom

---

2.
DFT (PBE) results for a geometry-optimized Hf3ZnAg structure.

Lattice parameters (Å, degrees): 4.902 4.902 4.902 90.00 90.00 90.00
Atoms (fractional coordinates):
Hf 0.000 0.000 0.500
Hf 0.000 0.500 0.000
Hf 0.500 0.000 0.000
Zn 0.000 0.000 0.000
Ag 0.500 0.500 0.500

offset from the most stable computed form	0.000	eV/atom
energy of formation	784	meV per atom
symmetry	Pm-3m (221)
total DFT energy (no corrections)	-6.01	eV/atom

---

> The lowest energy of formation belongs to which entry?

HfZn2Ag

---

> Which of these has the lowest total DFT energy (no corrections)?

Hf3ZnAg